NdSm7Ho12, relaxed, DFT GGA-PBE; Fermi-level density of states = 1.329 states/eV/atom; excess energy over the best structure of this formula in the dataset = 711 kJ/mol of formula units; formation enthalpy at 0 K = 1269 kJ/mol of formula units
1.0
9.196 0.000 -3.251
-4.598 7.964 -3.251
0.000 0.000 9.754
Ho Nd Sm
12 1 7
direct
0.502 0.251 0.251
0.251 0.502 0.251
0.251 0.251 0.502
0.000 0.251 0.749
0.498 0.749 0.749
0.000 0.749 0.251
0.749 0.000 0.251
0.749 0.251 0.000
0.749 0.498 0.749
0.251 0.749 0.000
0.749 0.749 0.498
0.251 0.000 0.749
0.000 0.000 0.000
0.000 0.500 0.500
0.500 0.500 0.500
0.000 0.500 0.000
0.000 0.000 0.500
0.500 0.000 0.500
0.500 0.000 0.000
0.500 0.500 0.000